# LaOs2Rh

LaOs2Rh after structural relaxation (PBE, the Alexandria database).

The space group is Cmmm (No. 65) and the conventional cell measures 5.704, 8.517 and 2.883 Å, with angles of 90.00, 90.00 and 90.00 degrees. The asymmetric unit holds La at (0.000, 0.000, 0.000), Os at (0.250, 0.250, 0.500) and Rh at (0.000, 0.500, 0.000).

Its energy relative to the lowest polymorph listed for this composition is 0.311 eV/atom. As for the formation energy from the elements: 1.95 eV/f.u. For the size of the total moment, the calculation gives 0.00 μB/cell.